8
Lattice="-0.890 -2.779 -3.547 3.848 -2.350 0.876 -2.851 -7.739 3.803" Properties=species:S:1:pos:R:3 comment="CoCuPb2 | Alexandria via LeMat-Bulk | GGA-PBE | optimized geometry" de_polymorph_mev_per_atom=355 dft_energy_ev_per_cell=-32.0 total_magnetization_mub_per_atom=0.00 volume_a3_per_cell=178.93 pbc="T T T"
Cu -1.131 -6.541 -0.540
Pb -0.993 -7.749 1.859
Pb 0.414 -10.270 0.506
Cu 0.000 0.000 0.000
Pb -0.779 -3.939 -1.124
Pb 1.573 -3.777 1.022
Co 1.479 -2.565 -1.336
Co 1.238 -6.327 1.672


8
Lattice="-3.554 0.191 -2.102 -5.473 -3.423 5.022 -5.065 6.438 5.194" Properties=species:S:1:pos:R:3 comment="CaInBr2 | Alexandria via LeMat-Bulk | GGA-PBE | optimized geometry" e_form_raw_ev_per_atom=-1.256 de_polymorph_mev_per_atom=22 dft_energy_ev_per_cell=-26.2 total_magnetization_mub_per_atom=0.00 volume_a3_per_cell=289.17 pbc="T T T"
Br -6.815 -0.403 3.489
In -8.484 0.672 6.472
Ca -1.777 0.095 -1.051
Br -4.545 0.528 -0.395
Br -9.548 2.677 8.511
Br -7.277 3.608 4.626
In -5.608 2.534 1.643
Ca -5.269 1.507 5.108


5
Lattice="-1.072 -2.480 4.149 4.151 1.705 2.092 -2.476 3.931 1.710" Properties=species:S:1:pos:R:3 comment="Os3PbAu | Alexandria via LeMat-Bulk | GGA-PBE | optimized geometry" de_polymorph_mev_per_atom=0 dft_energy_ev_per_cell=-27.4 total_magnetization_mub_per_atom=1.32 volume_a3_per_cell=121.35 pbc="T T T"
Au 0.000 0.000 0.000
Os 2.075 0.853 1.046
Os -1.238 1.966 0.855
Pb 0.301 1.578 3.975
Os -0.536 -1.240 2.074


4
Lattice="3.255 -1.879 0.000 0.000 3.758 0.000 0.000 0.000 7.092" Properties=species:S:1:pos:R:3 comment="MnAuSe2 | Alexandria via LeMat-Bulk | GGA-PBE | optimized geometry" e_form_raw_ev_per_atom=-0.176 dft_energy_ev_per_cell=-20.1 total_magnetization_mub_per_atom=1.00 volume_a3_per_cell=86.75 pbc="T T T"
Mn 0.000 0.000 7.042
Se 2.170 0.000 1.436
Au 1.085 1.879 3.231
Se 1.085 1.879 5.701


8
Lattice="4.226 0.000 0.000 0.000 4.226 0.000 2.113 2.113 7.906" Properties=species:S:1:pos:R:3 comment="ScP2Rh | Alexandria via LeMat-Bulk | GGA-PBE | optimized geometry" de_polymorph_mev_per_atom=304 dft_energy_ev_per_cell=-53.9 total_magnetization_mub_per_atom=0.00 volume_a3_per_cell=141.22 pbc="T T T"
P 3.170 2.768 5.929
Sc 2.113 2.113 0.000
Rh 0.000 0.000 0.000
Sc 2.113 4.226 3.953
P 3.571 1.057 1.976
Rh 4.226 2.113 3.953
P 0.655 3.170 1.976
P 5.283 5.685 5.929


9
Lattice="-4.877 -3.753 2.451 1.674 -5.220 -4.662 3.133 0.163 6.496" Properties=species:S:1:pos:R:3 comment="NaSr2Pb6 | Alexandria via LeMat-Bulk | GGA-PBE | optimized geometry" dft_energy_ev_per_cell=-29.4 total_magnetization_mub_per_atom=0.00 volume_a3_per_cell=298.08 pbc="T T T"
Pb -1.357 -6.783 -0.984
Pb -2.121 -4.398 1.146
Pb -0.138 -2.100 2.301
Sr 1.285 -4.096 -0.506
Na 0.000 0.000 0.000
Pb 1.287 -2.027 5.269
Pb 2.051 -4.412 3.139
Sr -1.355 -4.714 4.791
Pb 0.068 -6.711 1.984


5
Lattice="-5.582 1.067 1.962 -2.007 -4.713 -3.148 0.779 -2.847 3.765" Properties=species:S:1:pos:R:3 comment="NaCuSbBr2 | Alexandria via LeMat-Bulk | GGA-PBE | optimized geometry" e_form_raw_ev_per_atom=-0.312 dft_energy_ev_per_cell=-14.4 total_magnetization_mub_per_atom=0.00 volume_a3_per_cell=172.94 pbc="T T T"
Br -1.004 -2.356 -1.574
Na -3.405 -3.246 1.289
Cu 0.389 -1.423 1.883
Br -2.791 0.534 0.981
Sb 0.000 0.000 0.000


4
Lattice="4.156 0.000 0.000 0.000 4.251 0.000 0.000 0.000 4.469" Properties=species:S:1:pos:R:3 comment="PaAlGaGe | Alexandria via LeMat-Bulk | GGA-PBE | optimized geometry" dft_energy_ev_per_cell=-22.4 total_magnetization_mub_per_atom=0.00 volume_a3_per_cell=78.96 pbc="T T T"
Al 0.000 0.000 0.000
Ga 2.078 2.125 0.000
Pa 0.000 2.125 2.235
Ge 2.078 0.000 2.235